This record from the Alexandria database describes crystalline LiPrDyMn at its relaxed geometry. The functional is PBE.

Cell: 7.2722 7.2722 7.2722 Å, 90.00 90.00 90.00°
With the nearest neighbours (Å) after each atom.
Space group F-43m (No. 216)
Symmetry-distinct sites (fractional):
Li 0.0000 0.0000 0.0000  4 Pr 3.15, 4 Dy 3.15
Pr 0.2500 0.2500 0.2500  4 Mn 3.15, 4 Li 3.15
Dy 0.2500 0.2500 0.7500  4 Li 3.15, 4 Mn 3.15
Mn 0.0000 0.0000 0.5000  4 Dy 3.15, 4 Pr 3.15

Summary:
**Magnetic moment**: 2.5 μB per formula unit
**Theoretical density**: 6.3 g/cm³
**Crystal system**: cubic
**Calculated formation energy**: 154 meV per atom



This record from the Alexandria database describes crystalline LiDyMnRu at its relaxed geometry. The functional is PBE.

Cell: 6.5248 6.5248 6.5248 Å, 90.00 90.00 90.00°
With the nearest neighbours (Å) after each atom.
Space group F-43m (No. 216)
Symmetry-distinct sites (fractional):
Li 0.0000 0.0000 0.0000  4 Mn 2.83, 4 Dy 2.83
Dy 0.2500 0.2500 0.7500  4 Li 2.83, 4 Ru 2.83
Mn 0.2500 0.2500 0.2500  4 Li 2.83, 4 Ru 2.83
Ru 0.0000 0.0000 0.5000  4 Mn 2.83, 4 Dy 2.83

Summary:
**Magnetic moment**: 4.3 μB per formula unit
**Theoretical density**: 7.8 g/cm³
**Crystal system**: cubic
**Calculated formation energy**: 28 meV per atom



This record from the Alexandria database describes crystalline Li3Dy2MnS6 at its relaxed geometry. The functional is PBE.

Cell: 6.5531 11.4126 6.4821 Å, 90.00 109.19 90.00°
With the nearest neighbours (Å) after each atom.
Space group C2/m (No. 12)
Symmetry-distinct sites (fractional):
Li 0.0000 0.0000 0.0000  6 S 2.62-2.89
Li 0.0000 0.3390 0.0000  6 S 2.61-2.83
Dy 0.0000 0.1691 0.5000  6 S 2.71-2.74
Mn 0.0000 0.5000 0.5000  6 S 2.42-2.58
S 0.2236 0.5000 0.2674  1 Mn 2.42, 2 Li 2.62
S 0.2418 0.3433 0.7510  1 Mn 2.58, 3 Li 2.61-2.83, 2 Dy 2.71-2.72

Summary:
**Magnetic moment**: 4.0 μB per formula unit
**Theoretical density**: 4.3 g/cm³
**Crystal system**: monoclinic
**Formation energy (no corrections)**: -1.4797 eV per atom



This record from the Alexandria database describes crystalline Li4Dy3MnSe8 at its relaxed geometry. The functional is PBE.

Cell: 7.9797 7.9797 19.3761 Å, 90.00 90.00 120.00°
With the nearest neighbours (Å) after each atom.
Space group R-3m (No. 166, hexagonal axes)
Symmetry-distinct sites (fractional):
Li 0.0000 0.0000 0.0000  6 Se 2.94
Li 0.0000 0.5000 0.0000  6 Se 2.77-2.79
Dy 0.0000 0.5000 0.5000  6 Se 2.84-2.86
Mn 0.0000 0.0000 0.5000  6 Se 2.69
Se 0.0000 0.0000 0.2520  3 Li 2.79, 3 Dy 2.84
Se 0.0194 0.5097 0.2489  1 Mn 2.69, 3 Li 2.77-2.94, 2 Dy 2.86

Summary:
**Magnetic moment**: 4.0 μB per formula unit
**Theoretical density**: 5.6 g/cm³
**Crystal system**: trigonal
**Formation energy (no corrections)**: -1.4270 eV per atom



This record from the Alexandria database describes crystalline LiDy2MnSe4 at its relaxed geometry. The functional is PBE.

Cell: 6.7881 4.0209 6.9634 Å, 90.00 109.96 90.00°
With the nearest neighbours (Å) after each atom.
Space group P2/m (No. 10)
Symmetry-distinct sites (fractional):
Li 0.0000 0.0000 0.0000  6 Se 2.76-2.77
Dy 0.5000 0.0000 0.5000  6 Se 2.86-2.87
Dy 0.5000 0.5000 0.0000  6 Se 2.87-2.88
Mn 0.0000 0.5000 0.5000  6 Se 2.75-2.76
Se 0.2329 0.0000 0.7432  2 Mn 2.75, 1 Li 2.76, 3 Dy 2.87-2.88
Se 0.2366 0.5000 0.2469  1 Mn 2.76, 2 Li 2.77, 3 Dy 2.86-2.87

Summary:
**Magnetic moment**: 4.2 μB per formula unit
**Theoretical density**: 6.5 g/cm³
**Crystal system**: monoclinic
**Formation energy (no corrections)**: -1.3873 eV per atom



This record from the Alexandria database describes crystalline Li2DyMnSe4 at its relaxed geometry. The functional is PBE.

Cell: 6.7160 3.9281 6.7940 Å, 90.00 109.00 90.00°
With the nearest neighbours (Å) after each atom.
Space group P2/m (No. 10)
Symmetry-distinct sites (fractional):
Li 0.0000 0.0000 0.0000  6 Se 2.86-2.89
Li 0.5000 0.5000 0.0000  6 Se 2.68-2.73
Dy 0.0000 0.5000 0.5000  6 Se 2.83
Mn 0.5000 0.0000 0.5000  6 Se 2.61-2.69
Se 0.2724 0.0000 0.7468  1 Mn 2.61, 3 Li 2.73-2.89, 2 Dy 2.83
Se 0.2722 0.5000 0.2587  3 Li 2.68-2.86, 2 Mn 2.69, 1 Dy 2.83

Summary:
**Magnetic moment**: 4.0 μB per formula unit
**Theoretical density**: 5.4 g/cm³
**Crystal system**: monoclinic
**Formation energy (no corrections)**: -1.1785 eV per atom



This record from the Alexandria database describes crystalline LiSmDyMn at its relaxed geometry. The functional is PBE.

Cell: 7.1804 7.1804 7.1804 Å, 90.00 90.00 90.00°
With the nearest neighbours (Å) after each atom.
Space group F-43m (No. 216)
Symmetry-distinct sites (fractional):
Li 0.0000 0.0000 0.0000  4 Dy 3.11, 4 Sm 3.11
Sm 0.2500 0.2500 0.2500  4 Mn 3.11, 4 Li 3.11
Dy 0.2500 0.2500 0.7500  4 Mn 3.11, 4 Li 3.11
Mn 0.0000 0.0000 0.5000  4 Dy 3.11, 4 Sm 3.11

Summary:
**Magnetic moment**: 2.5 μB per formula unit
**Theoretical density**: 6.7 g/cm³
**Crystal system**: cubic
**Calculated formation energy**: 138 meV per atom



This record from the Alexandria database describes crystalline Li2DyMnTe4 at its relaxed geometry. The functional is PBE.

Cell: 7.2356 4.1978 7.3562 Å, 90.00 108.76 90.00°
With the nearest neighbours (Å) after each atom.
Space group P2/m (No. 10)
Symmetry-distinct sites (fractional):
Li 0.0000 0.0000 0.0000  6 Te 3.08
Li 0.5000 0.5000 0.0000  6 Te 2.89-2.93
Dy 0.0000 0.5000 0.5000  6 Te 3.05
Mn 0.5000 0.0000 0.5000  6 Te 2.86-2.89
Te 0.2691 0.0000 0.7505  1 Mn 2.86, 3 Li 2.93-3.08, 2 Dy 3.05
Te 0.2727 0.5000 0.2593  3 Li 2.89-3.08, 2 Mn 2.89, 1 Dy 3.05

Summary:
**Magnetic moment**: 4.1 μB per formula unit
**Theoretical density**: 5.8 g/cm³
**Crystal system**: monoclinic
**Formation energy (no corrections)**: -0.8346 eV per atom



This record from the Alexandria database describes crystalline LiDyThMn at its relaxed geometry. The functional is PBE.

Cell: 7.0710 7.0710 7.0710 Å, 90.00 90.00 90.00°
With the nearest neighbours (Å) after each atom.
Space group F-43m (No. 216)
Symmetry-distinct sites (fractional):
Li 0.0000 0.0000 0.0000  4 Th 3.06, 4 Dy 3.06
Dy 0.2500 0.2500 0.7500  4 Mn 3.06, 4 Li 3.06
Th 0.2500 0.2500 0.2500  4 Mn 3.06, 4 Li 3.06
Mn 0.0000 0.0000 0.5000  4 Dy 3.06, 4 Th 3.06

Summary:
**Magnetic moment**: 1.4 μB per formula unit
**Theoretical density**: 8.6 g/cm³
**Crystal system**: cubic
**Calculated formation energy**: 143 meV per atom



This record from the Alexandria database describes crystalline LiDyTmMn at its relaxed geometry. The functional is PBE.

Cell: 7.0408 7.0408 7.0408 Å, 90.00 90.00 90.00°
With the nearest neighbours (Å) after each atom.
Space group F-43m (No. 216)
Symmetry-distinct sites (fractional):
Li 0.0000 0.0000 0.0000  4 Dy 3.05, 4 Tm 3.05
Dy 0.2500 0.2500 0.7500  4 Mn 3.05, 4 Li 3.05
Tm 0.2500 0.2500 0.2500  4 Mn 3.05, 4 Li 3.05
Mn 0.0000 0.0000 0.5000  4 Dy 3.05, 4 Tm 3.05

Summary:
**Magnetic moment**: 2.5 μB per formula unit
**Theoretical density**: 7.5 g/cm³
**Crystal system**: cubic
**Calculated formation energy**: 111 meV per atom



This record from the Alexandria database describes crystalline LiDyYMn at its relaxed geometry. The functional is PBE.

Cell: 7.1301 7.1301 7.1301 Å, 90.00 90.00 90.00°
With the nearest neighbours (Å) after each atom.
Space group F-43m (No. 216)
Symmetry-distinct sites (fractional):
Li 0.0000 0.0000 0.0000  4 Dy 3.09, 4 Y 3.09
Dy 0.2500 0.2500 0.7500  4 Mn 3.09, 4 Li 3.09
Y 0.2500 0.2500 0.2500  4 Mn 3.09, 4 Li 3.09
Mn 0.0000 0.0000 0.5000  4 Dy 3.09, 4 Y 3.09

Summary:
**Magnetic moment**: 2.6 μB per formula unit
**Theoretical density**: 5.7 g/cm³
**Crystal system**: cubic
**Calculated formation energy**: 123 meV per atom



This record from the Alexandria database describes crystalline LiTbDyMo at its relaxed geometry. The functional is PBE.

Cell: 7.0647 7.0647 7.0647 Å, 90.00 90.00 90.00°
With the nearest neighbours (Å) after each atom.
Space group F-43m (No. 216)
Symmetry-distinct sites (fractional):
Li 0.0000 0.0000 0.0000  4 Tb 3.06, 4 Dy 3.06
Tb 0.2500 0.2500 0.7500  4 Li 3.06, 4 Mo 3.06
Dy 0.2500 0.2500 0.2500  4 Mo 3.06, 4 Li 3.06
Mo 0.0000 0.0000 0.5000  4 Tb 3.06, 4 Dy 3.06

Summary:
**Magnetic moment**: 0.0 μB per formula unit
**Theoretical density**: 8.0 g/cm³
**Crystal system**: cubic
**Calculated formation energy**: 263 meV per atom



This record from the Alexandria database describes crystalline LiDyThMo at its relaxed geometry. The functional is PBE.

Cell: 7.1311 7.1311 7.1311 Å, 90.00 90.00 90.00°
With the nearest neighbours (Å) after each atom.
Space group F-43m (No. 216)
Symmetry-distinct sites (fractional):
Li 0.0000 0.0000 0.0000  4 Dy 3.09, 4 Th 3.09
Dy 0.2500 0.2500 0.7500  4 Mo 3.09, 4 Li 3.09
Th 0.2500 0.2500 0.2500  4 Mo 3.09, 4 Li 3.09
Mo 0.0000 0.0000 0.5000  4 Th 3.09, 4 Dy 3.09

Summary:
**Magnetic moment**: 0.0 μB per formula unit
**Theoretical density**: 9.1 g/cm³
**Crystal system**: cubic
**Calculated formation energy**: 139 meV per atom



This record from the Alexandria database describes crystalline LiDyYMo at its relaxed geometry. The functional is PBE.

Cell: 7.1043 7.1043 7.1043 Å, 90.00 90.00 90.00°
With the nearest neighbours (Å) after each atom.
Space group F-43m (No. 216)
Symmetry-distinct sites (fractional):
Li 0.0000 0.0000 0.0000  4 Dy 3.08, 4 Y 3.08
Dy 0.2500 0.2500 0.7500  4 Mo 3.08, 4 Li 3.08
Y 0.2500 0.2500 0.2500  4 Mo 3.08, 4 Li 3.08
Mo 0.0000 0.0000 0.5000  4 Dy 3.08, 4 Y 3.08

Summary:
**Magnetic moment**: 1.0 μB per formula unit
**Theoretical density**: 6.6 g/cm³
**Crystal system**: cubic
**Calculated formation energy**: 273 meV per atom



This record from the Alexandria database describes crystalline LiDy3N at its relaxed geometry. The functional is PBE.

Cell: 4.8501 4.8501 4.8501 Å, 90.00 90.00 90.00°
With the nearest neighbours (Å) after each atom.
Space group Pm-3m (No. 221)
Symmetry-distinct sites (fractional):
Li 0.0000 0.0000 0.0000  12 Dy 3.43
Dy 0.0000 0.5000 0.5000  2 N 2.43
N 0.5000 0.5000 0.5000  6 Dy 2.43

Summary:
**Magnetic moment**: 0.0 μB per formula unit
**Theoretical density**: 7.4 g/cm³
**Crystal system**: cubic
**Formation energy (no corrections)**: -0.5491 eV per atom



This record from the Alexandria database describes crystalline Li2Dy4N at its relaxed geometry. The functional is PBE.

Cell: 4.8269 4.8269 14.7223 Å, 90.00 90.00 90.00°
With the nearest neighbours (Å) after each atom.
Space group I4/mmm (No. 139)
Symmetry-distinct sites (fractional):
Li 0.0000 0.0000 0.1350  5 Dy 2.98-3.13
Dy 0.0000 0.0000 0.3373  1 N 2.39
Dy 0.0000 0.5000 0.0000  2 N 2.41
N 0.0000 0.0000 0.5000  6 Dy 2.39-2.41

Summary:
**Magnetic moment**: 0.0 μB per formula unit
**Theoretical density**: 6.6 g/cm³
**Crystal system**: tetragonal
**Formation energy (no corrections)**: -0.2323 eV per atom



This record from the Alexandria database describes crystalline LiDy2N at its relaxed geometry. The functional is PBE.

Cell: 3.4277 3.4277 27.3022 Å, 90.00 90.00 120.00°
With the nearest neighbours (Å) after each atom.
Space group R-3m (No. 166, hexagonal axes)
Symmetry-distinct sites (fractional):
Li 0.0000 0.0000 0.0000  2 Dy 3.22, 6 Li 3.43
Dy 0.0000 0.0000 0.1179  3 N 2.39
N 0.0000 0.0000 0.5000  6 Dy 2.39

Summary:
**Magnetic moment**: 0.1 μB per formula unit
**Theoretical density**: 6.2 g/cm³
**Crystal system**: trigonal
**Formation energy (no corrections)**: -0.6608 eV per atom



This record from the Alexandria database describes crystalline LiDyNb2N4 at its relaxed geometry. The functional is PBE.

Cell: 4.5263 4.5263 8.8088 Å, 90.00 90.00 90.00°
With the nearest neighbours (Å) after each atom.
Space group I4/mmm (No. 139)
Symmetry-distinct sites (fractional):
Li 0.0000 0.0000 0.0000  6 N 2.12-2.26
Dy 0.0000 0.0000 0.5000  6 N 2.26-2.29
Nb 0.0000 0.5000 0.2500  6 N 2.20-2.26
N 0.0000 0.0000 0.2403  1 Li 2.12, 4 Nb 2.26, 1 Dy 2.29
N 0.0000 0.5000 0.0000  2 Nb 2.20, 2 Dy 2.26, 2 Li 2.26

Summary:
**Magnetic moment**: 0.0 μB per formula unit
**Theoretical density**: 7.6 g/cm³
**Crystal system**: tetragonal
**Formation energy (no corrections)**: -1.0139 eV per atom



This record from the Alexandria database describes crystalline Li2DyNb3N6 at its relaxed geometry. The functional is PBE.

Cell: 5.3965 9.3549 5.6815 Å, 90.00 108.15 90.00°
With the nearest neighbours (Å) after each atom.
Space group C2/m (No. 12)
Symmetry-distinct sites (fractional):
Li 0.0000 0.1654 0.0000  6 N 2.32-2.34
Dy 0.0000 0.5000 0.0000  6 N 2.34
Nb 0.0000 0.0000 0.5000  6 N 2.15-2.18
Nb 0.0000 0.3282 0.5000  6 N 2.13-2.20
N 0.2411 0.1677 0.7254  3 Nb 2.13-2.18, 2 Li 2.32-2.34, 1 Dy 2.34
N 0.2416 0.5000 0.7223  3 Nb 2.15-2.20, 2 Li 2.34, 1 Dy 2.34

Summary:
**Magnetic moment**: 0.0 μB per formula unit
**Theoretical density**: 6.6 g/cm³
**Crystal system**: monoclinic
**Formation energy (no corrections)**: -1.0713 eV per atom



This record from the Alexandria database describes crystalline LiDy2NbN4 at its relaxed geometry. The functional is PBE.

Cell: 6.7118 9.5221 6.7337 Å, 90.00 90.00 90.00°
With the nearest neighbours (Å) after each atom.
Space group Fmm2 (No. 42)
Symmetry-distinct sites (fractional):
Li 0.0000 0.0000 0.0000  4 N 2.32-2.44
Dy 0.2500 0.2500 0.2627  6 N 2.36-2.43
Nb 0.0000 0.0000 0.5563  4 N 1.95-2.11
N 0.0000 0.2186 0.5058  1 Nb 2.11
N 0.2261 0.0000 0.7387  1 Nb 1.95

Summary:
**Magnetic moment**: 0.0 μB per formula unit
**Theoretical density**: 7.4 g/cm³
**Crystal system**: orthorhombic
**Formation energy (no corrections)**: -1.2913 eV per atom